Density functional theory data (PBE-GGA) for a geometry-optimized KAlP structure.

Properties
space group: P1
energy of formation from the pure elements: -0.194 eV/atom

a b c (Å): 5.0412 5.5207 7.1179
angles (deg): 98.34 105.61 106.17
Sites, in units of the cell vectors:
K1 0.7074 0.6091 0.3637
K2 0.3177 0.2477 0.7241
P1 0.9783 0.3513 0.0569
P2 0.1486 0.0813 0.2306
Al1 0.2006 0.7582 0.9763
Al2 0.7296 0.8946 0.9225

=====

Density functional theory data (PBE-GGA) for a geometry-optimized KAlP structure.

Properties
space group: P-6m2
energy of formation from the pure elements: 0.211 eV/atom
DOS(E_F): 1.09 states/eV per atom

a b c (Å): 4.9419 4.9419 3.0813
angles (deg): 90.00 90.00 120.00
Sites, in units of the cell vectors:
K1 0.6667 0.3333 0.3333
Al1 0.0000 0.0000 0.8333
P1 0.3333 0.6667 0.8333

=====

Density functional theory data (PBE-GGA) for a geometry-optimized KAlP structure.

Properties
space group: R3m
energy of formation from the pure elements: -0.278 eV/atom
DOS(E_F): 0.31 states/eV per atom

a b c (Å): 3.9548 3.9548 18.2757
angles (deg): 90.00 90.00 120.00
Sites, in units of the cell vectors:
K1 0.0000 0.0000 0.0543
K2 0.3333 0.6667 0.7210
K3 0.6667 0.3333 0.3877
P1 0.6667 0.3333 0.1881
P2 0.3333 0.6667 0.5214
P3 0.0000 0.0000 0.8547
Al1 0.0000 0.0000 0.5624
Al2 0.3333 0.6667 0.2291
Al3 0.6667 0.3333 0.8958

=====

Density functional theory data (PBE-GGA) for a geometry-optimized KAl2P structure.

Properties
space group: I-4m2
energy of formation from the pure elements: 0.436 eV/atom
DOS(E_F): 0.40 states/eV per atom

a b c (Å): 5.3144 5.3144 5.3144
angles (deg): 129.15 129.15 74.77
Sites, in units of the cell vectors:
P1 0.7500 0.2500 0.5000
Al1 0.2500 0.7500 0.5000
Al2 0.0000 0.0000 0.0000
K1 0.5000 0.5000 0.0000

=====

Density functional theory data (PBE-GGA) for a geometry-optimized KAl2P structure.

Properties
space group: Imm2
energy of formation from the pure elements: 0.160 eV/atom
DOS(E_F): 0.36 states/eV per atom

a b c (Å): 5.5881 5.5881 5.5881
angles (deg): 132.61 105.94 92.77
Sites, in units of the cell vectors:
P1 0.1492 0.6492 0.5000
K1 0.4920 0.4920 0.0000
Al1 0.8293 0.3293 0.5000
Al2 0.0295 0.0295 0.0000

=====

Density functional theory data (PBE-GGA) for a geometry-optimized KAlP2 structure.

Properties
space group: I-4m2
energy of formation from the pure elements: 0.517 eV/atom
DOS(E_F): 0.33 states/eV per atom

a b c (Å): 5.4577 5.4577 5.4577
angles (deg): 135.21 135.21 65.21
Sites, in units of the cell vectors:
P1 0.0000 0.0000 0.0000
P2 0.2500 0.7500 0.5000
Al1 0.5000 0.5000 0.0000
K1 0.7500 0.2500 0.5000

=====

Density functional theory data (PBE-GGA) for a geometry-optimized KAl2P structure.

Properties
space group: Immm
energy of formation from the pure elements: 0.059 eV/atom
DOS(E_F): 0.31 states/eV per atom

a b c (Å): 6.0719 6.0719 6.0719
angles (deg): 146.91 121.87 68.54
Sites, in units of the cell vectors:
Al1 0.4242 0.4242 0.0000
Al2 0.0758 0.0758 0.0000
K1 0.7500 0.2500 0.5000
P1 0.2500 0.7500 0.5000

=====

Density functional theory data (PBE-GGA) for a geometry-optimized K3AlP structure.

Properties
space group: Pm-3m
energy of formation from the pure elements: 0.360 eV/atom
DOS(E_F): 1.49 states/eV per atom

a b c (Å): 6.2537 6.2537 6.2537
angles (deg): 90.00 90.00 90.00
Sites, in units of the cell vectors:
K1 0.5000 0.0000 0.0000
K2 0.0000 0.0000 0.5000
K3 0.0000 0.5000 0.0000
Al1 0.5000 0.5000 0.5000
P1 0.0000 0.0000 0.0000